# BeCuAsW PBE relaxed
data_BeCuAsW
_cell_length_a 6.017
_cell_length_b 6.017
_cell_length_c 6.017
_cell_angle_alpha 90.00
_cell_angle_beta 90.00
_cell_angle_gamma 90.00
_space_group_name_H-M_alt 'F -4 3 m'
_space_group_IT_number 216
_space_group_name_Hall 'F -4 2 3'
loop_
_atom_site_label
_atom_site_type_symbol
_atom_site_fract_x
_atom_site_fract_y
_atom_site_fract_z
Be1 Be 0.000 0.000 0.000
Cu1 Cu 0.000 0.000 0.500
As1 As 0.250 0.250 0.250
W1 W 0.250 0.250 0.750
# distance to the lowest polymorph of the same formula = 365 meV per atom
# total magnetization = 0.02 μB per formula unit
# E = -5.39 eV per atom
# mass density = 10.10 Mg/m³